CsErCoO3: optimized geometry, PBE+U.

extended XYZ file:
```
12
Lattice="1.762 -6.581 0.000 1.762 6.581 0.000 0.000 0.000 9.055" Properties=species:S:1:pos:R:3 pbc="T T T"
Cs 1.762 3.612 6.791
Cs 1.762 -3.612 2.264
Er 1.762 0.000 0.000
Er 1.762 0.000 4.527
Co 1.762 5.916 2.264
Co 1.762 -5.916 6.791
O 1.762 5.211 0.474
O 1.762 5.211 4.054
O 1.762 0.395 2.264
O 1.762 -0.395 6.791
O 1.762 -5.211 5.001
O 1.762 -5.211 8.581
```

## Properties
space-group type = Cmcm (63)
size of the total moment = 6.0 Bohr magnetons per cell
E_tot = -6.357 eV/atom